First-principles (PBE) data for a relaxed structure of Tc2AgPb, as listed in the Alexandria database.

Structure (POSCAR):
```
Tc2AgPb
1.0
4.080 0.000 0.000
0.000 4.080 0.000
0.000 0.000 4.287
Tc Ag Pb
2 1 1
direct
0.000 0.500 0.000
0.500 0.000 0.000
0.000 0.000 0.500
0.500 0.500 0.500
```

Output
M_tot, μB per formula unit: 3.00
DFT total energy, eV/cell: -24.14
Formation enthalpy at 0 K, kJ/mol of atoms: 76.1